Compound: Nb2FeMoH
Source: Alexandria
Functional: GGA-PBEsol
Structure: optimized geometry

The space group is P4/mmm (No. 123) and the conventional cell measures 4.338, 4.338 and 3.461 Å, with angles of 90.00, 90.00 and 90.00 degrees. The inequivalent atoms are Nb at (0.000, 0.500, 0.000), Fe at (0.000, 0.000, 0.500), Mo at (0.500, 0.500, 0.500) and H at (0.500, 0.500, 0.000).

The calculation puts the total moment at 1.78 μB/cell. Its total energy is -9.06 eV per atom.